A plane-wave DFT calculation with PBE was carried out for ThVIr after structural relaxation.

Summary:
spin magnetization	0.000	μB/atom
space group	Cmcm, No. 63
DOS at the Fermi energy	8.5	states/eV per cell
E_form	-12	kJ/mol of atoms

```
ThVIr
1.0
1.889 -8.261 0.000
1.889 8.261 0.000
0.000 0.000 4.315
Th V Ir
2 2 2
Direct
0.164 0.836 0.750
0.836 0.164 0.250
0.500 0.500 0.000
0.500 0.500 0.500
0.353 0.647 0.750
0.647 0.353 0.250
```

A plane-wave DFT calculation with PBE was carried out for Th2VIr after structural relaxation.

Summary:
spin magnetization	0.838	μB/atom
space group	R-3m, No. 166
DOS at the Fermi energy	5.2	states/eV per cell
E_form	36	kJ/mol of atoms

```
Th2VIr
1.0
1.928 1.113 9.279
-1.928 1.113 9.279
0.000 -2.226 9.279
Th V Ir
2 1 1
Direct
0.104 0.104 0.104
0.896 0.896 0.896
0.000 0.000 0.000
0.500 0.500 0.500
```